Entry 1:
The following is a PBE calculation of a relaxed structure of K2CdIn, from the Alexandria database.

Properties
As for the space-group type: Cmmm. As for the energy of formation: 0.04 eV per atom.

Cell: 3.988 3.988 9.685 Å, 90.00 90.00 90.08°
Sites, in units of the cell vectors:
K 0.000 0.000 0.501
Cd 0.500 0.500 0.250
K 0.000 0.000 0.999
In 0.500 0.500 0.750

=====

Entry 2:
The following is a PBE calculation of a relaxed structure of La3InRu, from the Alexandria database.

Properties
As for the space-group type: P2_1/c. As for the energy of formation: -0.36 eV per atom.

Cell: 26.618 6.347 9.996 Å, 90.00 159.22 90.00°
Sites, in units of the cell vectors:
La 0.684 0.081 0.589
La 0.810 0.308 0.243
In 0.047 0.146 0.496
La 0.072 0.732 0.102
La 0.428 0.232 0.398
In 0.547 0.354 0.996
La 0.190 0.692 0.757
In 0.453 0.646 0.004
La 0.816 0.581 0.911
Ru 0.424 0.674 0.495
Ru 0.576 0.326 0.505
La 0.572 0.768 0.602
La 0.928 0.268 0.898
Ru 0.076 0.174 0.005
La 0.310 0.192 0.743
La 0.316 0.919 0.411
In 0.953 0.854 0.504
La 0.184 0.419 0.089
Ru 0.924 0.826 0.995
La 0.690 0.808 0.257

=====

Entry 3:
The following is a PBE calculation of a relaxed structure of K3In3GeO8, from the Alexandria database.

Properties
As for the total energy: -5.325 eV/atom. As for the space-group type: R-3m.

Cell: 6.487 6.488 7.325 Å, 116.30 90.01 119.99°
Sites, in units of the cell vectors:
In 0.500 0.000 0.500
In 0.000 0.500 0.500
K 0.000 0.500 0.000
O 0.727 0.454 0.682
Ge 0.000 0.000 0.500
O 0.206 0.413 0.671
O 0.794 0.587 0.329
K 0.500 0.500 0.000
In 0.500 0.500 0.500
O 0.273 0.546 0.318
O 0.241 0.035 0.329
K 0.000 0.000 0.000
O 0.206 0.965 0.671
O 0.794 0.035 0.329
O 0.759 0.965 0.671

=====

no.,density (g cm⁻³),calculated volume (Å³ per atom),N(E_F) (states/eV/cell)
1,3.3,38.50,3.19
2,7.0,29.96,16.55
3,4.8,15.29,0.00